Material: Cd2MoRuW
Method: DFT, PBE
State: optimized geometry

Lattice parameters (Å, degrees): 5.0287 4.6413 5.0287 90.00 90.00 90.00
Positions (direct):
Ru 0.0000 0.0000 0.0000
Mo 0.0000 0.5000 0.0000
W 0.5000 0.5000 0.5000
Cd 0.0000 0.0000 0.5000
Cd 0.5000 0.0000 0.0000

Properties
final energy	-5.182	eV/atom
mass density	8.57	Mg/m³